#one
DFT (PBE-GGA) results for SrPd3W after structural relaxation.

Cell and atoms, written as POSCAR:
```
SrPd3W
1.0
-1.405 -0.345 -4.718
-3.502 -3.233 1.279
-3.181 3.712 0.675
Pd W Sr
3 1 1
Direct
0.000 0.000 0.500
0.000 0.500 0.000
0.500 0.000 0.000
0.000 0.000 0.000
0.500 0.500 0.500
```

The space-group type is Pm-3m. The value obtained for the volume is 24.04 A^3/atom.



#two
DFT (PBE-GGA) results for SrPd3W after structural relaxation.

Cell and atoms, written as POSCAR:
```
SrPd3W
1.0
4.942 0.000 0.000
0.000 4.942 0.000
0.000 0.000 4.942
Pd Sr W
3 1 1
Direct
0.500 0.000 0.000
0.000 0.000 0.500
0.000 0.500 0.000
0.000 0.000 0.000
0.500 0.500 0.500
```

The space-group type is Pm-3m. The value obtained for the volume is 24.14 A^3/atom.



From most stable to least stable, the computed energies give #one, #two.



#one
DFT (PBE-GGA) results for SrPdW2 after structural relaxation.

Cell and atoms, written as POSCAR:
```
SrPdW2
1.0
4.779 0.000 0.000
0.000 4.779 0.000
2.390 2.390 9.438
Pd Sr W
2 2 4
Direct
0.750 0.250 0.500
0.000 0.000 0.000
0.250 0.750 0.500
0.500 0.500 0.000
0.890 0.625 0.250
0.375 0.140 0.750
0.860 0.125 0.250
0.875 0.110 0.750
```

The space-group type is I-42d. The value obtained for the volume is 26.95 A^3/atom.



#two
DFT (PBE-GGA) results for SrPdW2 after structural relaxation.

Cell and atoms, written as POSCAR:
```
SrPdW2
1.0
0.000 3.319 3.319
3.319 0.000 3.319
3.319 3.319 0.000
Pd W Sr
1 2 1
Direct
0.500 0.500 0.500
0.750 0.750 0.750
0.250 0.250 0.250
0.000 0.000 0.000
```

The space-group type is Fm-3m. The value obtained for the volume is 18.28 A^3/atom.



From most stable to least stable, the computed energies give #one, #two.



#one
DFT (PBE-GGA) results for Sr3YPd after structural relaxation.

Cell and atoms, written as POSCAR:
```
Sr3YPd
1.0
5.944 0.000 0.000
0.000 5.944 0.000
0.000 0.000 5.944
Pd Sr Y
1 3 1
Direct
0.000 0.000 0.000
0.500 0.000 0.000
0.000 0.500 0.000
0.000 0.000 0.500
0.500 0.500 0.500
```

The space-group type is Pm-3m. The value obtained for the volume is 42.00 A^3/atom.



#two
DFT (PBE-GGA) results for Sr3YPd after structural relaxation.

Cell and atoms, written as POSCAR:
```
Sr3YPd
1.0
6.368 0.000 0.000
0.000 6.368 0.000
0.000 0.000 6.368
Sr Y Pd
3 1 1
Direct
0.500 0.000 0.000
0.000 0.500 0.000
0.000 0.000 0.500
0.000 0.000 0.000
0.500 0.500 0.500
```

The space-group type is Pm-3m. The value obtained for the volume is 51.64 A^3/atom.



From most stable to least stable, the computed energies give #one, #two.



#one
DFT (PBE-GGA) results for SrY3Pd after structural relaxation.

Cell and atoms, written as POSCAR:
```
SrY3Pd
1.0
5.587 0.000 0.000
0.000 5.587 0.000
0.000 0.000 5.587
Sr Pd Y
1 1 3
Direct
0.500 0.500 0.500
0.000 0.000 0.000
0.000 0.500 0.000
0.000 0.000 0.500
0.500 0.000 0.000
```

The space-group type is Pm-3m. The value obtained for the volume is 34.88 A^3/atom.



#two
DFT (PBE-GGA) results for SrY3Pd after structural relaxation.

Cell and atoms, written as POSCAR:
```
SrY3Pd
1.0
-4.366 -3.167 -0.796
1.259 -0.406 -5.290
3.014 -4.419 1.056
Sr Y Pd
1 3 1
Direct
0.000 0.000 0.000
0.000 0.500 0.000
0.000 0.000 0.500
0.500 0.000 0.000
0.500 0.500 0.500
```

The space-group type is Pm-3m. The value obtained for the volume is 32.42 A^3/atom.



From most stable to least stable, the computed energies give #one, #two.



#one
DFT (PBE-GGA) results for SrY2Pd after structural relaxation.

Cell and atoms, written as POSCAR:
```
SrY2Pd
1.0
-2.772 1.606 -1.636
-1.805 0.053 3.111
3.818 8.694 2.066
Y Sr Pd
2 1 1
Direct
0.000 0.000 0.829
0.000 0.000 0.171
0.500 0.500 0.500
0.500 0.500 0.000
```

The space-group type is P4/mmm. The value obtained for the volume is 31.43 A^3/atom.



#two
DFT (PBE-GGA) results for SrY2Pd after structural relaxation.

Cell and atoms, written as POSCAR:
```
SrY2Pd
1.0
-2.210 -4.903 0.013
-5.177 -0.620 -1.318
-1.328 -2.363 -4.645
Y Sr Pd
2 1 1
Direct
0.250 0.250 0.250
0.750 0.750 0.750
0.000 0.000 0.000
0.500 0.500 0.500
```

The space-group type is Fm-3m. The value obtained for the volume is 27.49 A^3/atom.



#three
DFT (PBE-GGA) results for SrY2Pd after structural relaxation.

Cell and atoms, written as POSCAR:
```
SrY2Pd
1.0
-0.399 -5.488 6.931
6.640 -4.767 -3.392
5.324 -3.222 3.406
Y Sr Pd
4 2 2
Direct
0.044 0.625 0.250
0.375 0.294 0.750
0.875 0.956 0.750
0.706 0.125 0.250
0.500 0.500 0.000
0.250 0.750 0.500
0.000 0.000 0.000
0.750 0.250 0.500
```

The space-group type is I-42d. The value obtained for the volume is 32.71 A^3/atom.



From most stable to least stable, the computed energies give #one, #three, #two.



#one
DFT (PBE-GGA) results for SrZnPd3 after structural relaxation.

Cell and atoms, written as POSCAR:
```
SrZnPd3
1.0
4.764 0.000 0.000
0.000 4.764 0.000
0.000 0.000 4.764
Pd Zn Sr
3 1 1
Direct
0.000 0.500 0.000
0.000 0.000 0.500
0.500 0.000 0.000
0.000 0.000 0.000
0.500 0.500 0.500
```

The space-group type is Pm-3m. The value obtained for the volume is 21.62 A^3/atom.



#two
DFT (PBE-GGA) results for SrZnPd3 after structural relaxation.

Cell and atoms, written as POSCAR:
```
SrZnPd3
1.0
-4.791 1.854 -0.699
-1.809 -3.347 3.522
0.808 3.499 3.740
Pd Zn Sr
3 1 1
Direct
0.000 0.500 0.000
0.500 0.000 0.000
0.000 0.000 0.500
0.500 0.500 0.500
0.000 0.000 0.000
```

The space-group type is Pm-3m. The value obtained for the volume is 27.88 A^3/atom.



#three
DFT (PBE-GGA) results for SrZnPd3 after structural relaxation.

Cell and atoms, written as POSCAR:
```
SrZnPd3
1.0
5.333 0.000 0.000
0.000 5.333 0.000
-2.667 -2.667 8.466
Sr Zn Pd
2 2 6
Direct
0.873 0.373 0.745
0.627 0.127 0.255
0.250 0.750 0.500
0.000 0.000 0.000
0.123 0.867 0.246
0.133 0.877 0.754
0.267 0.267 0.535
0.123 0.379 0.246
0.733 0.733 0.465
0.621 0.877 0.754
```

The space-group type is I-4m2. The value obtained for the volume is 24.08 A^3/atom.



From most stable to least stable, the computed energies give #one, #three, #two.



#one
DFT (PBE-GGA) results for Sr8Zn2Pd after structural relaxation.

Cell and atoms, written as POSCAR:
```
Sr8Zn2Pd
1.0
-4.204 6.623 -2.135
1.089 -1.849 -7.880
-4.210 -7.191 1.459
Sr Pd Zn
8 1 2
Direct
0.296 0.615 0.591
0.703 0.248 0.910
0.297 0.752 0.090
0.207 0.248 0.910
0.801 0.883 0.602
0.793 0.752 0.090
0.199 0.117 0.398
0.704 0.385 0.409
0.000 0.000 0.000
0.911 0.546 0.822
0.089 0.454 0.178
```

The space-group type is C2/m. The value obtained for the volume is 44.73 A^3/atom.



#two
DFT (PBE-GGA) results for Sr8Zn2Pd after structural relaxation.

Cell and atoms, written as POSCAR:
```
Sr8Zn2Pd
1.0
5.684 0.000 0.000
0.000 7.611 0.266
-2.842 -2.949 9.803
Pd Sr Zn
1 8 2
Direct
0.500 0.000 0.000
0.034 0.799 0.067
0.342 0.032 0.684
0.787 0.678 0.575
0.589 0.422 0.179
0.213 0.322 0.425
0.411 0.578 0.821
0.966 0.201 0.933
0.658 0.968 0.316
0.811 0.264 0.622
0.189 0.736 0.378
```

The space-group type is C2/m. The value obtained for the volume is 38.95 A^3/atom.



From most stable to least stable, the computed energies give #one, #two.



#one
DFT (PBE-GGA) results for Sr2ZnPd3 after structural relaxation.

Cell and atoms, written as POSCAR:
```
Sr2ZnPd3
1.0
-5.469 -1.714 -0.881
2.892 -1.825 4.683
-2.869 6.867 4.449
Pd Zn Sr
6 2 4
Direct
0.165 0.835 0.250
0.165 0.330 0.250
0.330 0.165 0.750
0.670 0.835 0.250
0.835 0.670 0.750
0.835 0.165 0.750
0.000 0.000 0.500
0.000 0.000 0.000
0.333 0.667 0.562
0.667 0.333 0.438
0.667 0.333 0.062
0.333 0.667 0.938
```

The space-group type is P6_3/mmc. The value obtained for the volume is 21.04 A^3/atom.



#two
DFT (PBE-GGA) results for Sr2ZnPd3 after structural relaxation.

Cell and atoms, written as POSCAR:
```
Sr2ZnPd3
1.0
-1.548 -0.412 4.240
5.285 -0.742 1.857
-1.342 6.168 -2.313
Sr Pd Zn
2 3 1
Direct
0.684 0.184 0.367
0.316 0.816 0.633
0.000 0.000 0.000
0.383 0.383 0.767
0.617 0.617 0.233
0.000 0.500 0.000
```

The space-group type is Immm. The value obtained for the volume is 24.17 A^3/atom.



From most stable to least stable, the computed energies give #one, #two.